Entry 1:
A plane-wave DFT calculation with PBE-GGA was carried out for a relaxed structure of CeMgHgGe.

Computed properties:
Energy relative to the elements = -0.40 eV per atom

CIF file:
```
data_CeMgHgGe
_chemical_formula_sum 'Ce1 Mg1 Hg1 Ge1'
_cell_length_a 5.070
_cell_length_b 5.070
_cell_length_c 5.070
_cell_angle_alpha 60.00
_cell_angle_beta 60.00
_cell_angle_gamma 60.00
_space_group_name_H-M_alt 'P 1'
_space_group_IT_number 1
loop_
_space_group_symop_operation_xyz
'x,y,z'
loop_
_atom_site_label
_atom_site_fract_x
_atom_site_fract_y
_atom_site_fract_z
_atom_site_occupancy
Ce1 0.000 0.000 0.000 1
Mg1 0.500 0.500 0.500 1
Hg1 0.750 0.750 0.750 1
Ge1 0.250 0.250 0.250 1
```

***

Entry 2:
A plane-wave DFT calculation with PBE-GGA was carried out for a relaxed structure of Yb3Si5.

Computed properties:
Uncorrected formation energy = -0.527 eV per atom

CIF file:
```
data_Yb3Si5
_chemical_formula_sum 'Yb3 Si5'
_cell_length_a 6.483
_cell_length_b 6.483
_cell_length_c 4.286
_cell_angle_alpha 90.00
_cell_angle_beta 90.00
_cell_angle_gamma 120.00
_space_group_name_H-M_alt 'P 1'
_space_group_IT_number 1
loop_
_space_group_symop_operation_xyz
'x,y,z'
loop_
_atom_site_label
_atom_site_fract_x
_atom_site_fract_y
_atom_site_fract_z
_atom_site_occupancy
Yb1 0.000 0.638 0.000 1
Yb2 0.362 0.362 0.000 1
Yb3 0.638 0.000 0.000 1
Si1 0.000 0.256 0.500 1
Si2 0.256 0.000 0.500 1
Si3 0.333 0.667 0.500 1
Si4 0.667 0.333 0.500 1
Si5 0.744 0.744 0.500 1
```

***

Entry 3:
A plane-wave DFT calculation with PBE-GGA was carried out for a relaxed structure of Ho3Al3Cu8.

Computed properties:
Energy relative to the elements = -0.31 eV per atom

CIF file:
```
data_Ho3Al3Cu8
_chemical_formula_sum 'Ho3 Al3 Cu8'
_cell_length_a 7.939
_cell_length_b 7.939
_cell_length_c 7.939
_cell_angle_alpha 149.33
_cell_angle_beta 113.38
_cell_angle_gamma 75.11
_space_group_name_H-M_alt 'P 1'
_space_group_IT_number 1
loop_
_space_group_symop_operation_xyz
'x,y,z'
loop_
_atom_site_label
_atom_site_fract_x
_atom_site_fract_y
_atom_site_fract_z
_atom_site_occupancy
Ho1 0.000 0.000 0.000 1
Ho2 0.293 0.293 0.000 1
Ho3 0.707 0.707 0.000 1
Al1 0.294 0.500 0.794 1
Al2 0.500 0.000 0.500 1
Al3 0.706 0.500 0.206 1
Cu1 0.023 0.668 0.355 1
Cu2 0.156 0.870 0.286 1
Cu3 0.313 0.668 0.645 1
Cu4 0.415 0.130 0.286 1
Cu5 0.585 0.870 0.714 1
Cu6 0.687 0.332 0.355 1
Cu7 0.844 0.130 0.714 1
Cu8 0.977 0.332 0.645 1
```